# 1
{
  "formula": "Pr4In2N",
  "functional": "PBE",
  "state": "optimized geometry",
  "n_ef_per_ev_cell": 6.37,
  "de_polymorph_ev_per_fu": 1.67,
  "lattice_angstrom": [[2.6162, -12.1515, 0.0000], [2.6162, 12.1515, 0.0000], [0.0000, 0.0000, 3.5301]],
  "species": ["Pr", "Pr", "Pr", "Pr", "In", "In", "N"],
  "frac_coords": [[0.0677, 0.9323, 0.0000], [0.2042, 0.7958, 0.5000], [0.7958, 0.2042, 0.5000], [0.9323, 0.0677, 0.0000], [0.3389, 0.6611, 0.0000], [0.6611, 0.3389, 0.0000], [0.0000, 0.0000, 0.5000]]
}

# 2
{
  "formula": "Pr12In6N",
  "functional": "PBE",
  "state": "optimized geometry",
  "energy_ev_per_atom": -4.68,
  "n_ef_per_ev_cell": 21.36,
  "lattice_angstrom": [[6.2971, 3.6357, 4.4705], [-6.2971, 3.6357, 4.4705], [0.0000, -7.2713, 4.4705]],
  "species": ["Pr", "Pr", "Pr", "Pr", "Pr", "Pr", "Pr", "Pr", "Pr", "Pr", "Pr", "Pr", "In", "In", "In", "In", "In", "In", "N"],
  "frac_coords": [[0.0321, 0.9172, 0.6929], [0.0828, 0.3071, 0.9679], [0.2101, 0.4246, 0.5320], [0.3071, 0.9679, 0.0828], [0.4246, 0.5320, 0.2101], [0.4680, 0.7899, 0.5754], [0.5320, 0.2101, 0.4246], [0.5754, 0.4680, 0.7899], [0.6929, 0.0321, 0.9172], [0.7899, 0.5754, 0.4680], [0.9172, 0.6929, 0.0321], [0.9679, 0.0828, 0.3071], [0.1444, 0.7523, 0.3516], [0.2477, 0.6484, 0.8556], [0.3516, 0.1444, 0.7523], [0.6484, 0.8556, 0.2477], [0.7523, 0.3516, 0.1444], [0.8556, 0.2477, 0.6484], [0.5000, 0.5000, 0.5000]]
}

# 3
{
  "formula": "Pr2InN",
  "functional": "PBE",
  "state": "optimized geometry",
  "energy_ev_per_atom": -5.93,
  "n_ef_per_ev_cell": 2.79,
  "lattice_angstrom": [[-2.5799, 5.3532, 3.7793], [2.5799, -5.3532, 3.7793], [2.5799, 5.3532, -3.7793]],
  "species": ["Pr", "Pr", "Pr", "Pr", "In", "In", "N", "N"],
  "frac_coords": [[0.1039, 0.2500, 0.3539], [0.4826, 0.9409, 0.0417], [0.8961, 0.7500, 0.6461], [0.8991, 0.4409, 0.9583], [0.3814, 0.2112, 0.6702], [0.5410, 0.7112, 0.3298], [0.0973, 0.7317, 0.8656], [0.8662, 0.2317, 0.1344]]
}

# 4
{
  "formula": "PrInN",
  "functional": "PBE",
  "state": "optimized geometry",
  "energy_ev_per_atom": -5.86,
  "n_ef_per_ev_cell": 1.25,
  "lattice_angstrom": [[-1.7395, 1.7395, 5.9556], [1.7395, -1.7395, 5.9556], [1.7395, 1.7395, -5.9556]],
  "species": ["Pr", "In", "N"],
  "frac_coords": [[0.0000, 0.0000, 0.0000], [0.2738, 0.2738, 0.0000], [0.4592, 0.4592, 0.0000]]
}

What did the third record say?
{
  "formula": "Pr2InN",
  "functional": "PBE",
  "state": "optimized geometry",
  "energy_ev_per_atom": -5.93,
  "n_ef_per_ev_cell": 2.79,
  "lattice_angstrom": [[-2.5799, 5.3532, 3.7793], [2.5799, -5.3532, 3.7793], [2.5799, 5.3532, -3.7793]],
  "species": ["Pr", "Pr", "Pr", "Pr", "In", "In", "N", "N"],
  "frac_coords": [[0.1039, 0.2500, 0.3539], [0.4826, 0.9409, 0.0417], [0.8961, 0.7500, 0.6461], [0.8991, 0.4409, 0.9583], [0.3814, 0.2112, 0.6702], [0.5410, 0.7112, 0.3298], [0.0973, 0.7317, 0.8656], [0.8662, 0.2317, 0.1344]]
}